{
  "formula": "ErCd3Hg2",
  "functional": "GGA-PBE",
  "state": "optimized geometry",
  "dft_energy_ev_per_cell": -17.18,
  "vol_a3_per_cell": 294,
  "formation_enthalpy_0k_ev_per_atom": -0.113,
  "lattice_angstrom": [[-1.996, 5.270, 1.310], [-1.972, 0.796, -6.203], [-5.907, -3.456, 4.901]],
  "species": ["Er", "Er", "Cd", "Cd", "Cd", "Cd", "Cd", "Cd", "Hg", "Hg", "Hg", "Hg"],
  "frac_coords": [[0.750, 0.354, 0.708], [0.250, 0.646, 0.292], [0.750, 0.842, 0.683], [0.250, 0.158, 0.317], [0.750, 0.932, 0.351], [0.250, 0.068, 0.649], [0.750, 0.420, 0.351], [0.250, 0.580, 0.649], [0.000, 0.751, 0.000], [0.500, 0.249, 0.000], [0.000, 0.249, 0.000], [0.500, 0.751, 0.000]]
}